NaLiVO2F2: relaxed, PBE+U.

a = 6.6874 Å, b = 3.8990 Å, c = 7.0427 Å
α = 90.00°, β = 117.33°, γ = 90.00°
Space group P2_1/m (No. 11)
Asymmetric unit:
1 Na 0.0221 0.2500 0.1911
2 Li 0.3470 0.7500 0.4603
3 V 0.4256 0.2500 0.8102
4 O 0.3465 0.2500 0.5350
5 O 0.4445 0.7500 0.8696
6 F 0.1127 0.2500 0.7589
7 F 0.2472 0.7500 0.1535

## Properties
Density of states at the Fermi level ... 0.00 states/eV per cell
Calculated total energy ... -5.8757 eV per atom
Total magnetic moment ... 0.14 μB per atom